Ba2HfCu (GGA-PBE, optimized geometry); volume = 33.8 A^3/atom; total magnetization = 0.75 μB per formula unit; energy above the most stable polymorph in this dataset = 0.009 eV per atom; theoretical density = 6.3 g/cm3; N(E_F) = 6.18 states/eV/f.u.; E_form = 315 kJ/mol of formula units
1.0
-4.5803 4.5803 3.2253
4.5803 -4.5803 3.2253
4.5803 4.5803 -3.2253
Ba Hf Cu
4 2 2
Direct
0.0688 0.6250 0.9438 Ba
0.3750 0.3188 0.4438 Ba
0.6812 0.1250 0.0562 Ba
0.8750 0.9312 0.5562 Ba
0.2500 0.7500 0.5000 Hf
0.5000 0.5000 0.0000 Hf
0.0000 0.0000 0.0000 Cu
0.7500 0.2500 0.5000 Cu

=====

Hg2WSe (GGA-PBE, optimized geometry); volume = 19.9 A^3/atom; total magnetization = 0.00 μB per formula unit; raw total energy = -3.481 eV/atom; theoretical density = 13.8 g/cm3; N(E_F) = 3.54 states/eV/f.u.
1.0
3.0163 -4.6813 0.0000
3.0163 4.6813 0.0000
0.0000 0.0000 2.8216
Hg W Se
2 1 1
Direct
0.0000 0.5000 0.0000 Hg
0.5000 0.0000 0.0000 Hg
0.0000 0.0000 0.5000 W
0.5000 0.5000 0.5000 Se

=====

Sm3CuCl3 (GGA-PBE, optimized geometry); volume = 26.9 A^3/atom; total magnetization = 0.00 μB per formula unit; raw total energy = -4.735 eV/atom; theoretical density = 5.5 g/cm3; N(E_F) = 5.80 states/eV/f.u.
1.0
-5.7327 5.7327 5.7327
5.7327 -5.7327 5.7327
5.7327 5.7327 -5.7327
Sm Cu Cl
12 4 12
Direct
0.0067 0.0134 0.2567 Sm
0.0067 0.4933 0.7500 Sm
0.0134 0.2567 0.0067 Sm
0.2433 0.2567 0.7500 Sm
0.2433 0.4866 0.4933 Sm
0.2567 0.0067 0.0134 Sm
0.2567 0.7500 0.2433 Sm
0.4866 0.4933 0.2433 Sm
0.4933 0.2433 0.4866 Sm
0.4933 0.7500 0.0067 Sm
0.7500 0.0067 0.4933 Sm
0.7500 0.2433 0.2567 Sm
0.0000 0.2500 0.5000 Cu
0.2500 0.2500 0.2500 Cu
0.2500 0.5000 0.0000 Cu
0.5000 0.0000 0.2500 Cu
0.2500 0.7556 0.7444 Cl
0.2500 0.9944 0.5056 Cl
0.5056 0.2500 0.9944 Cl
0.5056 0.7556 0.5112 Cl
0.5112 0.5056 0.7556 Cl
0.7444 0.2500 0.7556 Cl
0.7444 0.9944 0.9888 Cl
0.7556 0.5112 0.5056 Cl
0.7556 0.7444 0.2500 Cl
0.9888 0.7444 0.9944 Cl
0.9944 0.5056 0.2500 Cl
0.9944 0.9888 0.7444 Cl

=====

KRh2S4 (GGA-PBE, optimized geometry); volume = 21.0 A^3/atom; total magnetization = 0.00 μB per formula unit; raw total energy = -5.062 eV/atom; theoretical density = 4.2 g/cm3; N(E_F) = 5.03 states/eV/f.u.
1.0
-4.0264 4.0264 4.5292
4.0264 -4.0264 4.5292
4.0264 4.0264 -4.5292
K Rh S
2 4 8
Direct
0.3750 0.6250 0.7500 K
0.6250 0.3750 0.2500 K
0.0000 0.0000 0.0000 Rh
0.0000 0.0000 0.5000 Rh
0.0000 0.5000 0.0000 Rh
0.5000 0.0000 0.5000 Rh
0.1702 0.7467 0.4235 S
0.1767 0.2533 0.9235 S
0.2533 0.1767 0.4235 S
0.2533 0.8298 0.0765 S
0.7467 0.1702 0.9235 S
0.7467 0.8233 0.5765 S
0.8233 0.7467 0.0765 S
0.8298 0.2533 0.5765 S